Entry i
First-principles (PBE-GGA) data for an optimized crystal structure of TlCuN2F, as listed in Alexandria.

Output
- total magnetization (μB per formula unit) = 2.50

Unit cell a=4.3355 b=4.3355 c=4.4986 alpha=90.00 beta=90.00 gamma=90.00
Closest atoms and distances in Å follow each position.
Space group P4/mmm (No. 123)
Unique sites:
Tl 0.0000 0.0000 0.0000 [1 per cell]  4 N 2.17, 2 F 2.25
Cu 0.5000 0.5000 0.5000 [1 per cell]  4 F 3.07, 8 N 3.12
N 0.0000 0.5000 0.0000 [2 per cell]  2 Tl 2.17
F 0.0000 0.0000 0.5000 [1 per cell]  2 Tl 2.25



Entry ii
First-principles (PBE-GGA) data for an optimized crystal structure of TlCuN2F, as listed in Alexandria.

Output
- total magnetization (μB per formula unit) = 3.09

Unit cell a=3.7915 b=3.7915 c=4.9465 alpha=90.00 beta=90.00 gamma=90.00
Closest atoms and distances in Å follow each position.
Space group P4/mmm (No. 123)
Unique sites:
Tl 0.0000 0.0000 0.0000 [1 per cell]  4 F 2.68
Cu 0.5000 0.5000 0.5000 [1 per cell]  4 N 1.90
N 0.0000 0.5000 0.5000 [2 per cell]  2 Cu 1.90
F 0.5000 0.5000 0.0000 [1 per cell]  2 Cu 2.47, 4 Tl 2.68



Comparing the structures above, entry ii comes out on top by 724 meV/atom.